No. 1
Compound: LiGaI3
Source: the Alexandria database
Functional: PBE
Structure: relaxed Values from VASP.

Quantum ESPRESSO input file:
```
&SYSTEM
  ibrav = 0, nat = 20, ntyp = 3
/
ATOMIC_SPECIES
Ga 69.72 Ga.upf
I 126.90 I.upf
Li 6.94 Li.upf
CELL_PARAMETERS angstrom
11.575 0.000 0.000
0.000 7.306 0.041
0.000 0.384 8.603
ATOMIC_POSITIONS angstrom
Ga 8.681 6.633 6.588
I 0.803 2.549 2.707
I 4.985 2.549 2.707
Li 0.000 3.653 0.021
I 0.812 1.643 7.010
Ga 8.681 7.054 0.321
Li 0.000 0.192 4.301
I 4.976 1.643 7.010
I 2.894 5.320 8.070
Li 5.788 3.653 0.021
I 8.681 1.201 4.689
Li 5.788 0.192 4.301
I 6.590 5.141 5.937
I 2.894 6.489 3.955
I 8.681 2.370 0.574
I 6.599 6.047 1.634
Ga 2.894 0.636 8.323
I 10.763 6.047 1.634
Ga 2.894 1.057 2.056
I 10.773 5.141 5.937
```

Computed properties:
Formation energy without anion corrections (meV/atom): -761
Crystal system: monoclinic
Energy relative to the lowest polymorph listed for this composition (meV per atom): 0
Total moment (μB/f.u.): 0.00
Symmetry: No. 11

***

No. 2
Compound: LiGaI2
Source: the Alexandria database
Functional: PBE
Structure: relaxed Values from VASP.

Quantum ESPRESSO input file:
```
&SYSTEM
  ibrav = 0, nat = 4, ntyp = 3
/
ATOMIC_SPECIES
Li 6.94 Li.upf
I 126.90 I.upf
Ga 69.72 Ga.upf
CELL_PARAMETERS angstrom
-3.235 -2.275 2.173
-2.527 -3.005 -2.223
4.110 -8.360 2.052
ATOMIC_POSITIONS angstrom
Li -0.826 -6.820 1.001
I -3.793 -7.434 0.625
I 2.142 -6.206 1.377
Ga 0.000 0.000 0.000
```

Computed properties:
Formation energy without anion corrections (meV/atom): -518
Crystal system: trigonal
Energy relative to the lowest polymorph listed for this composition (meV per atom): 228
Total moment (μB/f.u.): 0.00
Symmetry: No. 166

***

No. 3
Compound: Li2Ga2I7
Source: the Alexandria database
Functional: PBE
Structure: relaxed Values from VASP.

Quantum ESPRESSO input file:
```
&SYSTEM
  ibrav = 0, nat = 11, ntyp = 3
/
ATOMIC_SPECIES
Li 6.94 Li.upf
I 126.90 I.upf
Ga 69.72 Ga.upf
CELL_PARAMETERS angstrom
7.388 -0.946 -1.082
-1.537 8.203 0.301
-1.537 -0.793 8.170
ATOMIC_POSITIONS angstrom
Li -1.537 2.049 5.685
I 0.741 3.002 0.224
I 3.694 -0.473 -0.541
I 3.998 2.475 2.829
I 0.317 3.989 4.560
Li -1.537 5.362 2.787
Ga 2.029 5.375 6.144
I 3.574 6.641 4.384
I 0.741 -0.177 3.005
Ga 2.286 1.089 1.245
I 3.574 3.462 7.166
```

Computed properties:
Formation energy without anion corrections (meV/atom): -653
Crystal system: monoclinic
Energy relative to the lowest polymorph listed for this composition (meV per atom): 9
Total moment (μB/f.u.): 0.00
Symmetry: No. 12

***

No. 4
Compound: LiGa2I
Source: the Alexandria database
Functional: PBE
Structure: relaxed Values from VASP.

Quantum ESPRESSO input file:
```
&SYSTEM
  ibrav = 0, nat = 4, ntyp = 3
/
ATOMIC_SPECIES
I 126.90 I.upf
Ga 69.72 Ga.upf
Li 6.94 Li.upf
CELL_PARAMETERS angstrom
3.450 1.559 3.793
-1.269 4.046 3.278
-1.074 -0.968 5.161
ATOMIC_POSITIONS angstrom
I 0.554 2.318 6.116
Ga 0.831 3.477 9.174
Li 0.000 0.000 0.000
Ga 0.277 1.159 3.058
```

Computed properties:
Formation energy without anion corrections (meV/atom): 189
Crystal system: cubic
Energy relative to the lowest polymorph listed for this composition (meV per atom): 246
Total moment (μB/f.u.): 0.00
Symmetry: No. 225

***

No. 5
Compound: LiGa3I4
Source: the Alexandria database
Functional: PBE
Structure: relaxed Values from VASP.

Quantum ESPRESSO input file:
```
&SYSTEM
  ibrav = 0, nat = 8, ntyp = 3
/
ATOMIC_SPECIES
Ga 69.72 Ga.upf
I 126.90 I.upf
Li 6.94 Li.upf
CELL_PARAMETERS angstrom
5.971 0.015 -2.653
-1.168 5.856 -2.653
-0.060 -0.074 7.942
ATOMIC_POSITIONS angstrom
Ga 4.156 1.438 1.318
Ga 0.586 4.359 1.318
I 1.818 5.863 -3.980
Ga 2.341 2.862 5.289
I 1.085 1.326 2.450
Li 4.801 5.871 -5.305
I -0.584 2.928 -1.326
I 3.658 4.471 0.185
```

Computed properties:
Formation energy without anion corrections (meV/atom): -536
Crystal system: orthorhombic
Total moment (μB/f.u.): 0.00
Symmetry: No. 69

***

No. 6
Compound: Li2GaI4
Source: the Alexandria database
Functional: PBE
Structure: relaxed Values from VASP.

Quantum ESPRESSO input file:
```
&SYSTEM
  ibrav = 0, nat = 7, ntyp = 3
/
ATOMIC_SPECIES
I 126.90 I.upf
Li 6.94 Li.upf
Ga 69.72 Ga.upf
CELL_PARAMETERS angstrom
-2.944 -4.095 -2.885
-1.389 -2.548 5.034
-8.356 0.846 1.475
ATOMIC_POSITIONS angstrom
I -0.695 -1.274 2.517
I -5.945 -0.777 1.319
I -1.472 -2.047 -1.443
Li -3.738 -2.263 1.176
I -6.744 -5.019 2.304
Li -8.952 -3.533 2.447
Ga 0.000 0.000 0.000
```

Computed properties:
Formation energy without anion corrections (meV/atom): -627
Crystal system: tetragonal
Energy relative to the lowest polymorph listed for this composition (meV per atom): 165
Total moment (μB/f.u.): 0.00
Symmetry: No. 139

***

No. 7
Compound: Li2Ga2I7
Source: the Alexandria database
Functional: PBE
Structure: relaxed Values from VASP.

Quantum ESPRESSO input file:
```
&SYSTEM
  ibrav = 0, nat = 22, ntyp = 3
/
ATOMIC_SPECIES
Ga 69.72 Ga.upf
I 126.90 I.upf
Li 6.94 Li.upf
CELL_PARAMETERS angstrom
7.996 0.195 -2.142
-1.186 7.910 -2.142
-0.363 -0.433 14.777
ATOMIC_POSITIONS angstrom
Ga 0.962 1.436 9.465
I 1.849 7.751 -1.433
Li 1.484 4.924 -1.430
I 7.609 0.336 1.552
I -0.688 4.732 4.537
I 3.073 2.987 3.527
Li 4.412 2.094 5.958
I 2.794 0.454 7.712
Ga 1.430 1.411 2.077
Ga 5.017 6.262 8.415
I 7.135 2.941 5.955
Li 2.035 5.579 4.534
I -1.162 7.337 8.940
Ga 5.485 6.237 1.027
I 3.374 4.686 6.965
Li 4.963 2.749 11.922
I 0.147 3.047 0.324
I 4.598 -0.078 11.925
I 6.300 4.626 10.169
I 3.653 7.219 2.780
I 4.216 4.347 -0.423
I 2.231 3.326 10.915
```

Computed properties:
Formation energy without anion corrections (meV/atom): -662
Crystal system: monoclinic
Energy relative to the lowest polymorph listed for this composition (meV per atom): 0
Total moment (μB/f.u.): 0.00
Symmetry: No. 15

***

No. 8
Compound: Li3GaI6
Source: the Alexandria database
Functional: PBE
Structure: relaxed Values from VASP.

Quantum ESPRESSO input file:
```
&SYSTEM
  ibrav = 0, nat = 20, ntyp = 3
/
ATOMIC_SPECIES
Ga 69.72 Ga.upf
Li 6.94 Li.upf
I 126.90 I.upf
CELL_PARAMETERS angstrom
-3.207 1.208 7.567
-8.885 -0.753 -3.645
1.856 -9.180 2.252
ATOMIC_POSITIONS angstrom
Ga -3.172 -6.472 8.315
Li -4.827 -4.677 3.857
Ga -8.320 -1.779 0.825
Li -4.196 -0.908 3.322
I -2.204 -8.840 1.260
I -3.287 -3.019 1.845
I -7.284 -5.580 5.119
I -2.688 -6.454 5.738
I -4.989 -2.337 5.574
I -6.850 -2.534 -1.210
Li -4.714 -8.317 -0.275
I -5.581 -6.262 1.390
I -6.978 -0.282 2.429
I 0.283 -5.325 1.753
I -10.291 -0.264 -0.036
Li -8.050 -6.354 2.558
I -9.465 -3.797 1.936
I -1.354 -7.930 9.535
Li -4.225 -4.495 -0.476
Li -0.861 -2.870 0.489
```

Computed properties:
Formation energy without anion corrections (meV/atom): -863
Crystal system: orthorhombic
Total moment (μB/f.u.): 0.00
Symmetry: No. 36

***

No. 9
Compound: LiGaI2
Source: the Alexandria database
Functional: PBE
Structure: relaxed Values from VASP.

Quantum ESPRESSO input file:
```
&SYSTEM
  ibrav = 0, nat = 4, ntyp = 3
/
ATOMIC_SPECIES
Li 6.94 Li.upf
I 126.90 I.upf
Ga 69.72 Ga.upf
CELL_PARAMETERS angstrom
-2.912 -2.673 -0.109
1.259 -1.227 -3.541
4.765 -5.337 3.544
ATOMIC_POSITIONS angstrom
Li 1.556 -4.618 -0.053
I 1.242 -1.391 0.924
Ga -0.826 -1.950 -1.825
I 3.523 -3.946 2.620
```

Computed properties:
Formation energy without anion corrections (meV/atom): -570
Crystal system: tetragonal
Energy relative to the lowest polymorph listed for this composition (meV per atom): 175
Total moment (μB/f.u.): 0.00
Symmetry: No. 123

***

No. 10
Compound: LiGa2I4
Source: the Alexandria database
Functional: PBE
Structure: relaxed Values from VASP.

Quantum ESPRESSO input file:
```
&SYSTEM
  ibrav = 0, nat = 7, ntyp = 3
/
ATOMIC_SPECIES
Li 6.94 Li.upf
I 126.90 I.upf
Ga 69.72 Ga.upf
CELL_PARAMETERS angstrom
-4.052 2.777 -5.128
4.606 -4.802 -2.480
-4.270 -3.253 4.649
ATOMIC_POSITIONS angstrom
Li 0.277 -1.013 -3.804
I -1.487 -5.625 1.389
Ga -4.022 -0.745 -2.142
I -2.229 0.347 -4.348
I -2.543 -1.812 0.297
Ga 0.307 -4.534 -0.818
I -1.173 -3.466 -3.256
```

Computed properties:
Formation energy without anion corrections (meV/atom): -462
Crystal system: tetragonal
Total moment (μB/f.u.): 0.00
Symmetry: No. 87

***

No. 11
Compound: LiGaI4
Source: the Alexandria database
Functional: PBE
Structure: relaxed Values from VASP.

Quantum ESPRESSO input file:
```
&SYSTEM
  ibrav = 0, nat = 6, ntyp = 3
/
ATOMIC_SPECIES
Li 6.94 Li.upf
I 126.90 I.upf
Ga 69.72 Ga.upf
CELL_PARAMETERS angstrom
6.813 0.000 0.000
0.000 6.813 0.000
-3.407 -3.407 5.689
ATOMIC_POSITIONS angstrom
Li 3.407 0.000 2.844
I 1.872 4.914 1.456
Ga 3.407 3.407 0.000
I -1.507 -1.534 4.233
I 1.507 1.534 4.233
I 4.941 1.900 1.456
```

Computed properties:
Formation energy without anion corrections (meV/atom): -745
Crystal system: tetragonal
Energy relative to the lowest polymorph listed for this composition (meV per atom): 0
Total moment (μB/f.u.): 0.00
Symmetry: No. 82